No. 1
PmIn6Pd6: optimized geometry, PBE-GGA.

a b c (Å): 7.3081 7.3081 7.3081
angles (deg): 134.69 101.83 95.27
Closest atoms and distances in Å follow each position.
Element x y z (fractional)
Pm  0.0000  0.0000  0.0000  8 In 3.11-3.36
In  0.1776  0.6776  0.5000  6 Pd 2.79-2.81
In  0.3378  0.0000  0.3378  6 Pd 2.95-2.96, 1 In 2.99, 1 Pm 3.11
In  0.3415  0.3415  0.0000  6 Pd 2.85-2.87, 1 In 3.12
In  0.6585  0.6585  0.0000  6 Pd 2.85-2.87, 1 In 3.12
In  0.6622  0.0000  0.6622  6 Pd 2.95-2.96, 1 In 2.99, 1 Pm 3.11
In  0.8224  0.3224  0.5000  6 Pd 2.79-2.81
Pd  0.0000  0.0000  0.5000  6 In 2.79-2.95, 4 Pd 2.82-2.84
Pd  0.0000  0.5000  0.0000  6 In 2.79-2.95, 4 Pd 2.82-2.84
Pd  0.2389  0.5000  0.7389  6 In 2.81-2.96, 4 Pd 2.84
Pd  0.5000  0.0000  0.0000  6 In 2.79-2.95, 4 Pd 2.82-2.84
Pd  0.5000  0.5000  0.5000  6 In 2.79-2.95, 4 Pd 2.82-2.84
Pd  0.7611  0.5000  0.2611  6 In 2.81-2.96, 4 Pd 2.84

## Properties
polymorph energy (0 for the lowest one)	0	meV/atom
energy of formation from the pure elements	-0.54	eV/atom

***

No. 2
TiCrSe2N: optimized geometry, PBE-GGA.

a b c (Å): 4.9367 4.9367 3.5183
angles (deg): 90.00 90.00 90.00
Closest atoms and distances in Å follow each position.
Element x y z (fractional)
Ti  0.0000  0.0000  0.0000  8 Se 3.03
Cr  0.5000  0.5000  0.5000  2 N 1.76
Se  0.0000  0.5000  0.5000  2 Cr 2.47
Se  0.5000  0.0000  0.5000  2 Cr 2.47
N  0.5000  0.5000  0.0000  2 Cr 1.76

## Properties
energy relative to the elements, uncorrected	-9	meV per atom
polymorph energy (0 for the lowest one)	0	meV/atom

***

No. 3
AcPmAs2Pd2: optimized geometry, PBE-GGA.

a b c (Å): 4.4352 4.4352 8.0555
angles (deg): 90.00 90.00 120.00
Closest atoms and distances in Å follow each position.
Element x y z (fractional)
Ac  0.0000  0.0000  0.0000  6 Pd 3.33, 6 As 3.34
Pm  0.0000  0.0000  0.5000  6 As 3.18, 6 Pd 3.19
As  0.3333  0.6667  0.2668  3 Pd 2.56
As  0.6667  0.3333  0.7332  3 Pd 2.56
Pd  0.3333  0.6667  0.7359  3 As 2.56
Pd  0.6667  0.3333  0.2641  3 As 2.56

## Properties
energy of formation from the pure elements	-1.20	eV/atom

***

No. 4
K4Nd3YSe8: optimized geometry, PBE-GGA.

a b c (Å): 9.1773 9.1773 9.1773
angles (deg): 56.13 56.13 56.13
Closest atoms and distances in Å follow each position.
Element x y z (fractional)
K  0.0000  0.0000  0.0000  6 Se 3.39
K  0.0000  0.5000  0.5000  6 Se 3.34
K  0.5000  0.0000  0.5000  6 Se 3.34
K  0.5000  0.5000  0.0000  6 Se 3.34
Nd  0.0000  0.0000  0.5000  6 Se 2.98-2.99
Nd  0.0000  0.5000  0.0000  6 Se 2.98-2.99
Nd  0.5000  0.0000  0.0000  6 Se 2.98-2.99
Y  0.5000  0.5000  0.5000  6 Se 2.92
Se  0.2373  0.2373  0.2373  3 Nd 2.98, 3 K 3.34
Se  0.2431  0.7329  0.7329  1 Y 2.92, 2 Nd 2.99
Se  0.2671  0.2671  0.7569  1 Y 2.92, 2 Nd 2.99
Se  0.2671  0.7569  0.2671  1 Y 2.92, 2 Nd 2.99
Se  0.7329  0.2431  0.7329  1 Y 2.92, 2 Nd 2.99
Se  0.7329  0.7329  0.2431  1 Y 2.92, 2 Nd 2.99
Se  0.7569  0.2671  0.2671  1 Y 2.92, 2 Nd 2.99
Se  0.7627  0.7627  0.7627  3 Nd 2.98, 3 K 3.34

## Properties
energy relative to the elements, uncorrected	-1756	meV per atom

***

No. 5
NaCd6In6: optimized geometry, PBE-GGA.

a b c (Å): 6.0393 6.0393 10.5893
angles (deg): 90.00 90.00 120.00
Closest atoms and distances in Å follow each position.
Element x y z (fractional)
Na  0.0000  0.0000  0.0000  8 In 3.49-3.77
Cd  0.0000  0.5000  0.2428  4 Cd 3.02, 6 In 3.11-3.25
Cd  0.0000  0.5000  0.7572  4 Cd 3.02, 6 In 3.11-3.25
Cd  0.5000  0.0000  0.2428  4 Cd 3.02, 6 In 3.11-3.25
Cd  0.5000  0.0000  0.7572  4 Cd 3.02, 6 In 3.11-3.25
Cd  0.5000  0.5000  0.2428  4 Cd 3.02, 6 In 3.11-3.25
Cd  0.5000  0.5000  0.7572  4 Cd 3.02, 6 In 3.11-3.25
In  0.0000  0.0000  0.3558  1 In 3.05, 6 Cd 3.25
In  0.0000  0.0000  0.6442  1 In 3.05, 6 Cd 3.25
In  0.3333  0.6667  0.0000  6 Cd 3.11
In  0.3333  0.6667  0.5000  6 Cd 3.23, 3 In 3.49
In  0.6667  0.3333  0.0000  6 Cd 3.11
In  0.6667  0.3333  0.5000  6 Cd 3.23, 3 In 3.49

## Properties
energy of formation from the pure elements	0.01	eV/atom

***

No. 6
Al2CdSi: optimized geometry, PBE-GGA.

a b c (Å): 6.7056 6.7056 6.7056
angles (deg): 90.00 90.00 90.00
Closest atoms and distances in Å follow each position.
Element x y z (fractional)
Al  0.0000  0.0000  0.0000  4 Cd 2.90, 4 Al 2.90
Al  0.0000  0.5000  0.5000  4 Cd 2.90, 4 Al 2.90
Al  0.2500  0.2500  0.2500  4 Al 2.90, 4 Si 2.90
Al  0.2500  0.7500  0.7500  4 Al 2.90, 4 Si 2.90
Al  0.5000  0.0000  0.5000  4 Cd 2.90, 4 Al 2.90
Al  0.5000  0.5000  0.0000  4 Cd 2.90, 4 Al 2.90
Al  0.7500  0.2500  0.7500  4 Al 2.90, 4 Si 2.90
Al  0.7500  0.7500  0.2500  4 Al 2.90, 4 Si 2.90
Cd  0.2500  0.2500  0.7500  4 Al 2.90, 4 Si 2.90
Cd  0.2500  0.7500  0.2500  4 Al 2.90, 4 Si 2.90
Cd  0.7500  0.2500  0.2500  4 Al 2.90, 4 Si 2.90
Cd  0.7500  0.7500  0.7500  4 Si 2.90, 4 Al 2.90
Si  0.0000  0.0000  0.5000  4 Cd 2.90, 4 Al 2.90
Si  0.0000  0.5000  0.0000  4 Cd 2.90, 4 Al 2.90
Si  0.5000  0.0000  0.0000  4 Cd 2.90, 4 Al 2.90
Si  0.5000  0.5000  0.5000  4 Cd 2.90, 4 Al 2.90

## Properties
energy relative to the elements, uncorrected	354	meV per atom
polymorph energy (0 for the lowest one)	178	meV/atom

***

No. 7
CsZrTe2I: optimized geometry, PBE-GGA.

a b c (Å): 5.6924 5.6924 6.0373
angles (deg): 90.00 90.00 90.00
Closest atoms and distances in Å follow each position.
Element x y z (fractional)
Cs  0.0000  0.0000  0.0000  4 I 4.03, 8 Te 4.15
Zr  0.5000  0.5000  0.5000  4 Te 2.85, 2 I 3.02
Te  0.0000  0.5000  0.5000  2 Zr 2.85
Te  0.5000  0.0000  0.5000  2 Zr 2.85
I  0.5000  0.5000  0.0000  2 Zr 3.02

## Properties
energy relative to the elements, uncorrected	-910	meV per atom
polymorph energy (0 for the lowest one)	0	meV/atom

***

No. 8
Ho7MgRu4: optimized geometry, PBE-GGA.

a b c (Å): 7.2721 7.2721 9.6552
angles (deg): 123.25 123.25 43.45
Closest atoms and distances in Å follow each position.
Element x y z (fractional)
Ho  0.0000  0.0000  0.0000  2 Mg 2.69, 4 Ru 2.74-2.78
Ho  0.1782  0.1782  0.6299  2 Ru 2.65-2.91
Ho  0.2848  0.2848  0.1232  4 Ru 2.86-3.16, 1 Ho 3.18
Ho  0.4238  0.4238  0.6260  1 Ru 2.63
Ho  0.5762  0.5762  0.3740  1 Ru 2.63
Ho  0.7152  0.7152  0.8768  4 Ru 2.86-3.16, 1 Ho 3.18
Ho  0.8218  0.8218  0.3701  2 Ru 2.65-2.91
Mg  0.5000  0.5000  0.0000  2 Ho 2.69
Ru  0.0650  0.0650  0.7797  3 Ho 2.65-2.86
Ru  0.1970  0.1970  0.3449  3 Ho 2.63-2.91
Ru  0.8030  0.8030  0.6551  3 Ho 2.63-2.91
Ru  0.9350  0.9350  0.2203  3 Ho 2.65-2.86

## Properties
energy of formation from the pure elements	-0.09	eV/atom

***

Calculated energy (eV for the cell shown), listed in the same order as above: -59.4 -32.9 -35.7 -81.1 -23.2 -49.6 -21.8 -71.8
Calculated N(E_F) (states/eV per cell), listed in the same order as above: 7.3 5.9 1.0 0.0 4.4 6.1 2.1 8.9
Calculated calculated density (Mg/m³), listed in the same order as above: 9.57 5.26 8.89 4.37 6.88 4.28 5.15 9.27